Entry 1:
VASP calculation (PBE) on a relaxed SbTe2N2 crystal.

Lattice parameters (Å, degrees): 4.1474 4.1474 6.8276 90.00 90.00 90.00
Last column: nearest neighbours and their distance in Å.
Fractional coordinates of all 5 atoms:
Sb 0.0000 0.0000 0.0000  4 Te 2.93
Te 0.5000 0.5000 0.0000  4 Sb 2.93
Te 0.5000 0.5000 0.5000  4 N 2.07
N 0.0000 0.5000 0.5000  2 Te 2.07
N 0.5000 0.0000 0.5000  2 Te 2.07

energy relative to the lowest polymorph listed for this composition: 1422 meV per atom
formation energy from raw total energies: 1.42 eV per atom
theoretical density: 5.726 Mg/m³

Entry 2:
VASP calculation (PBE) on a relaxed SbTe2N2 crystal.

Lattice parameters (Å, degrees): 5.9821 5.9821 3.8721 90.00 90.00 90.00
Last column: nearest neighbours and their distance in Å.
Fractional coordinates of all 5 atoms:
Sb 0.0000 0.0000 0.0000  2 N 1.94
Te 0.0000 0.5000 0.0000  2 Sb 2.99
Te 0.5000 0.0000 0.0000  2 Sb 2.99
N 0.0000 0.0000 0.5000  2 Sb 1.94
N 0.5000 0.5000 0.5000  8 Te 3.56, 2 N 3.87

energy relative to the lowest polymorph listed for this composition: 1890 meV per atom
formation energy from raw total energies: 1.89 eV per atom
theoretical density: 4.853 Mg/m³

Entry 3:
VASP calculation (PBE) on a relaxed Sb3TeN crystal.

Lattice parameters (Å, degrees): 5.7031 5.7031 5.7031 90.00 90.00 90.00
Last column: nearest neighbours and their distance in Å.
Fractional coordinates of all 5 atoms:
Sb 0.0000 0.0000 0.5000  2 Te 2.85
Sb 0.0000 0.5000 0.0000  2 Te 2.85
Sb 0.5000 0.0000 0.0000  2 Te 2.85
Te 0.0000 0.0000 0.0000  6 Sb 2.85
N 0.5000 0.5000 0.5000  12 Sb 4.03

energy relative to the lowest polymorph listed for this composition: 1532 meV per atom
formation energy from raw total energies: 2.13 eV per atom
theoretical density: 4.538 Mg/m³